# AcTb4Hg4

Crystalline AcTb4Hg4 at its relaxed geometry (GGA-PBE, the Alexandria database). Values from VASP.

- DOS at the Fermi energy: 8.010 states/eV/f.u.
- Electronic total energy: -26.138 eV/f.u.

Geometry as Quantum ESPRESSO input:
```
&SYSTEM
  ibrav = 0, nat = 18, ntyp = 3
/
ATOMIC_SPECIES
Ac 227.00 Ac.upf
Tb 158.93 Tb.upf
Hg 200.59 Hg.upf
ATOMIC_POSITIONS angstrom
Ac 2.479 2.479 1.372
Ac 7.436 7.436 4.117
Tb 1.072 8.374 3.757
Tb 1.541 6.029 1.013
Tb 3.416 8.843 1.013
Tb 3.886 6.499 3.757
Tb 6.029 3.416 1.732
Tb 6.499 1.072 4.476
Tb 8.374 3.886 4.476
Tb 8.843 1.541 1.732
Hg 0.379 1.414 4.467
Hg 1.414 4.579 3.767
Hg 3.544 0.379 3.767
Hg 4.579 3.544 4.467
Hg 5.336 6.371 1.022
Hg 6.371 9.536 1.722
Hg 8.501 5.336 1.722
Hg 9.536 8.501 1.022
CELL_PARAMETERS angstrom
9.915 0.000 0.000
0.000 9.915 0.000
0.000 0.000 5.489
```